[1]
## Li3PuNp3S8 (PBE-GGA)

Data for a relaxed structure of Li3PuNp3S8.

Output
Calculated total energy, eV/atom: -7.48
Symmetry: C2/m (12)

```
data_Li3PuNp3S8
_space_group_name_H-M_alt 'P 1'
_space_group_IT_number 1
_space_group_name_Hall 'P 1'
_cell_length_a 7.655
_cell_length_b 7.655
_cell_length_c 7.601
_cell_angle_alpha 116.95
_cell_angle_beta 116.95
_cell_angle_gamma 62.57
loop_
_atom_site_label
_atom_site_type_symbol
_atom_site_fract_x
_atom_site_fract_y
_atom_site_fract_z
Li1 Li 0.000 0.000 0.000
Li2 Li 0.000 0.500 0.500
Li3 Li 0.500 0.000 0.500
Pu1 Pu 0.000 0.000 0.500
Np1 Np 0.000 0.500 0.000
Np2 Np 0.500 0.000 0.000
Np3 Np 0.500 0.500 0.500
S1 S 0.248 0.248 0.752
S2 S 0.248 0.749 0.254
S3 S 0.249 0.249 0.250
S4 S 0.251 0.752 0.746
S5 S 0.749 0.248 0.254
S6 S 0.751 0.751 0.750
S7 S 0.752 0.251 0.746
S8 S 0.752 0.752 0.248
```



[2]
## LiPu2NpS5 (PBE-GGA)

Data for a relaxed structure of LiPu2NpS5.

Output
Calculated total energy, eV/atom: -8.58
Symmetry: Cmc2_1 (36)

```
data_LiPu2NpS5
_space_group_name_H-M_alt 'P 1'
_space_group_IT_number 1
_space_group_name_Hall 'P 1'
_cell_length_a 8.395
_cell_length_b 8.395
_cell_length_c 11.753
_cell_angle_alpha 90.00
_cell_angle_beta 90.00
_cell_angle_gamma 153.07
loop_
_atom_site_label
_atom_site_type_symbol
_atom_site_fract_x
_atom_site_fract_y
_atom_site_fract_z
Li1 Li 0.022 0.978 0.500
Li2 Li 0.978 0.022 0.000
Pu1 Pu 0.377 0.623 0.331
Pu2 Pu 0.396 0.604 0.712
Pu3 Pu 0.604 0.396 0.212
Pu4 Pu 0.623 0.377 0.831
Np1 Np 0.297 0.703 0.035
Np2 Np 0.703 0.297 0.535
S1 S 0.002 0.998 0.804
S2 S 0.132 0.868 0.028
S3 S 0.189 0.811 0.378
S4 S 0.213 0.787 0.694
S5 S 0.449 0.551 0.097
S6 S 0.551 0.449 0.597
S7 S 0.787 0.213 0.194
S8 S 0.811 0.189 0.878
S9 S 0.868 0.132 0.528
S10 S 0.998 0.002 0.304
```



[3]
## Li4PuNp3Se8 (PBE-GGA)

Data for a relaxed structure of Li4PuNp3Se8.

Output
Calculated total energy, eV/atom: -6.77
Symmetry: R-3m (166)

```
data_Li4PuNp3Se8
_space_group_name_H-M_alt 'P 1'
_space_group_IT_number 1
_space_group_name_Hall 'P 1'
_cell_length_a 8.026
_cell_length_b 8.026
_cell_length_c 8.026
_cell_angle_alpha 61.89
_cell_angle_beta 61.89
_cell_angle_gamma 61.89
loop_
_atom_site_label
_atom_site_type_symbol
_atom_site_fract_x
_atom_site_fract_y
_atom_site_fract_z
Li1 Li 0.000 0.000 0.000
Li2 Li 0.000 0.500 0.500
Li3 Li 0.500 0.000 0.500
Li4 Li 0.500 0.500 0.000
Pu1 Pu 0.500 0.500 0.500
Np1 Np 0.000 0.000 0.500
Np2 Np 0.000 0.500 0.000
Np3 Np 0.500 0.000 0.000
Se1 Se 0.246 0.246 0.751
Se2 Se 0.246 0.751 0.246
Se3 Se 0.249 0.754 0.754
Se4 Se 0.251 0.251 0.251
Se5 Se 0.749 0.749 0.749
Se6 Se 0.751 0.246 0.246
Se7 Se 0.754 0.249 0.754
Se8 Se 0.754 0.754 0.249
```



[4]
## LiPu3Np2Se6 (PBE-GGA)

Data for a relaxed structure of LiPu3Np2Se6.

Output
Calculated total energy, eV/atom: -8.94
Symmetry: C2/m (12)

```
data_LiPu3Np2Se6
_space_group_name_H-M_alt 'P 1'
_space_group_IT_number 1
_space_group_name_Hall 'P 1'
_cell_length_a 9.188
_cell_length_b 9.188
_cell_length_c 8.246
_cell_angle_alpha 103.02
_cell_angle_beta 103.02
_cell_angle_gamma 25.77
loop_
_atom_site_label
_atom_site_type_symbol
_atom_site_fract_x
_atom_site_fract_y
_atom_site_fract_z
Li1 Li 0.000 0.000 0.000
Pu1 Pu 0.000 0.000 0.500
Pu2 Pu 0.333 0.333 0.164
Pu3 Pu 0.667 0.667 0.836
Np1 Np 0.334 0.334 0.665
Np2 Np 0.666 0.666 0.335
Se1 Se 0.163 0.163 0.084
Se2 Se 0.167 0.167 0.582
Se3 Se 0.499 0.499 0.755
Se4 Se 0.501 0.501 0.245
Se5 Se 0.833 0.833 0.418
Se6 Se 0.837 0.837 0.916
```



[5]
## Li4Pu3NpSe8 (PBE-GGA)

Data for a relaxed structure of Li4Pu3NpSe8.

Output
Calculated total energy, eV/atom: -7.08
Symmetry: R-3m (166)

```
data_Li4Pu3NpSe8
_space_group_name_H-M_alt 'P 1'
_space_group_IT_number 1
_space_group_name_Hall 'P 1'
_cell_length_a 7.997
_cell_length_b 7.997
_cell_length_c 7.997
_cell_angle_alpha 62.13
_cell_angle_beta 62.13
_cell_angle_gamma 62.13
loop_
_atom_site_label
_atom_site_type_symbol
_atom_site_fract_x
_atom_site_fract_y
_atom_site_fract_z
Li1 Li 0.000 0.000 0.000
Li2 Li 0.000 0.500 0.500
Li3 Li 0.500 0.000 0.500
Li4 Li 0.500 0.500 0.000
Pu1 Pu 0.000 0.000 0.500
Pu2 Pu 0.000 0.500 0.000
Pu3 Pu 0.500 0.000 0.000
Np1 Np 0.500 0.500 0.500
Se1 Se 0.250 0.250 0.746
Se2 Se 0.250 0.746 0.250
Se3 Se 0.251 0.251 0.251
Se4 Se 0.254 0.750 0.750
Se5 Se 0.746 0.250 0.250
Se6 Se 0.749 0.749 0.749
Se7 Se 0.750 0.254 0.750
Se8 Se 0.750 0.750 0.254
```



[6]
## LiPu2NpSe4 (PBE-GGA)

Data for a relaxed structure of LiPu2NpSe4.

Output
Calculated total energy, eV/atom: -8.41
Symmetry: P2/m (10)

```
data_LiPu2NpSe4
_space_group_name_H-M_alt 'P 1'
_space_group_IT_number 1
_space_group_name_Hall 'P 1'
_cell_length_a 6.895
_cell_length_b 4.148
_cell_length_c 7.142
_cell_angle_alpha 90.00
_cell_angle_beta 90.47
_cell_angle_gamma 90.00
loop_
_atom_site_label
_atom_site_type_symbol
_atom_site_fract_x
_atom_site_fract_y
_atom_site_fract_z
Li1 Li 0.000 0.000 0.000
Pu1 Pu 0.500 0.000 0.000
Pu2 Pu 0.500 0.500 0.500
Np1 Np 0.000 0.500 0.500
Se1 Se 0.244 0.000 0.331
Se2 Se 0.245 0.500 0.841
Se3 Se 0.755 0.500 0.159
Se4 Se 0.756 0.000 0.669
```



[7]
## Li2Pu3NpSe6 (PBE-GGA)

Data for a relaxed structure of Li2Pu3NpSe6.

Output
Calculated total energy, eV/atom: -7.94
Symmetry: C2/m (12)

```
data_Li2Pu3NpSe6
_space_group_name_H-M_alt 'P 1'
_space_group_IT_number 1
_space_group_name_Hall 'P 1'
_cell_length_a 8.757
_cell_length_b 8.757
_cell_length_c 9.268
_cell_angle_alpha 103.48
_cell_angle_beta 103.48
_cell_angle_gamma 25.63
loop_
_atom_site_label
_atom_site_type_symbol
_atom_site_fract_x
_atom_site_fract_y
_atom_site_fract_z
Li1 Li 0.178 0.178 0.374
Li2 Li 0.822 0.822 0.626
Pu1 Pu 0.335 0.335 0.151
Pu2 Pu 0.500 0.500 0.000
Pu3 Pu 0.665 0.665 0.849
Np1 Np 0.500 0.500 0.500
Se1 Se 0.021 0.021 0.746
Se2 Se 0.158 0.158 0.084
Se3 Se 0.334 0.334 0.457
Se4 Se 0.666 0.666 0.543
Se5 Se 0.842 0.842 0.916
Se6 Se 0.979 0.979 0.254
```



[8]
## LiPu2Np3Se6 (PBE-GGA)

Data for a relaxed structure of LiPu2Np3Se6.

Output
Calculated total energy, eV/atom: -8.75
Symmetry: C2/m (12)

```
data_LiPu2Np3Se6
_space_group_name_H-M_alt 'P 1'
_space_group_IT_number 1
_space_group_name_Hall 'P 1'
_cell_length_a 9.207
_cell_length_b 9.207
_cell_length_c 8.252
_cell_angle_alpha 103.98
_cell_angle_beta 103.98
_cell_angle_gamma 25.57
loop_
_atom_site_label
_atom_site_type_symbol
_atom_site_fract_x
_atom_site_fract_y
_atom_site_fract_z
Li1 Li 0.000 0.000 0.000
Pu1 Pu 0.334 0.334 0.667
Pu2 Pu 0.666 0.666 0.333
Np1 Np 0.000 0.000 0.500
Np2 Np 0.332 0.332 0.166
Np3 Np 0.668 0.668 0.834
Se1 Se 0.163 0.163 0.079
Se2 Se 0.166 0.166 0.584
Se3 Se 0.498 0.498 0.244
Se4 Se 0.502 0.502 0.756
Se5 Se 0.834 0.834 0.416
Se6 Se 0.837 0.837 0.921
```



[9]
## Li3PuNp3Se8 (PBE-GGA)

Data for a relaxed structure of Li3PuNp3Se8.

Output
Calculated total energy, eV/atom: -6.98
Symmetry: R-3m (166)

```
data_Li3PuNp3Se8
_space_group_name_H-M_alt 'P 1'
_space_group_IT_number 1
_space_group_name_Hall 'P 1'
_cell_length_a 8.000
_cell_length_b 8.000
_cell_length_c 8.000
_cell_angle_alpha 62.23
_cell_angle_beta 62.23
_cell_angle_gamma 62.23
loop_
_atom_site_label
_atom_site_type_symbol
_atom_site_fract_x
_atom_site_fract_y
_atom_site_fract_z
Li1 Li 0.000 0.500 0.500
Li2 Li 0.500 0.000 0.500
Li3 Li 0.500 0.500 0.000
Pu1 Pu 0.500 0.500 0.500
Np1 Np 0.000 0.000 0.500
Np2 Np 0.000 0.500 0.000
Np3 Np 0.500 0.000 0.000
Se1 Se 0.247 0.752 0.752
Se2 Se 0.248 0.248 0.753
Se3 Se 0.248 0.753 0.248
Se4 Se 0.251 0.251 0.251
Se5 Se 0.749 0.749 0.749
Se6 Se 0.752 0.247 0.752
Se7 Se 0.752 0.752 0.247
Se8 Se 0.753 0.248 0.248
```